This record from Alexandria describes a relaxed ScAgSb2 crystal. The functional is GGA-PBE.

Structure (extended XYZ):
```
4
Lattice="0.0000 3.6065 3.6065 3.6065 0.0000 3.6065 3.6065 3.6065 0.0000" Properties=species:S:1:pos:R:3 pbc="T T T"
Sc 0.0000 0.0000 0.0000
Ag 3.6065 3.6065 3.6065
Sb 1.8033 1.8033 1.8033
Sb 5.4098 5.4098 5.4098
```

Results
The calculation puts the formation energy (no corrections) at -175 meV/atom.